[1]
A plane-wave DFT calculation with PBE was carried out for a geometry-optimized Dy3Pt5 structure.

abc: 5.8077 5.8077 9.7212
angles: 90.00 90.00 104.17
Last column: nearest neighbours and their distance in Å.
Positions (direct):
Dy (0.2029, 0.7971, 0.0000)  10 Pt 2.95-3.17
Dy (0.7971, 0.2029, 0.0000)  10 Pt 2.95-3.17
Dy (0.7971, 0.2029, 0.5000)  10 Pt 2.95-3.17
Dy (0.2029, 0.7971, 0.5000)  10 Pt 2.95-3.17
Dy (0.6185, 0.6185, 0.7500)  7 Pt 2.77-2.93
Dy (0.3815, 0.3815, 0.2500)  7 Pt 2.77-2.93
Pt (0.5105, 0.0579, 0.7500)  3 Dy 2.77-2.95, 4 Pt 2.79-3.03
Pt (0.4895, 0.9421, 0.2500)  3 Dy 2.77-2.95, 4 Pt 2.79-3.03
Pt (0.0579, 0.5105, 0.7500)  3 Dy 2.77-2.95, 4 Pt 2.79-3.03
Pt (0.9421, 0.4895, 0.2500)  3 Dy 2.77-2.95, 4 Pt 2.79-3.03
Pt (0.0236, 0.0236, 0.7500)  6 Pt 2.79-3.03, 5 Dy 2.89-3.06
Pt (0.9764, 0.9764, 0.2500)  6 Pt 2.79-3.03, 5 Dy 2.89-3.06
Pt (0.3161, 0.3161, 0.9524)  4 Pt 2.78-2.87, 6 Dy 2.92-3.06
Pt (0.6839, 0.6839, 0.0476)  4 Pt 2.78-2.87, 6 Dy 2.92-3.06
Pt (0.6839, 0.6839, 0.4524)  4 Pt 2.78-2.87, 6 Dy 2.92-3.06
Pt (0.3161, 0.3161, 0.5476)  4 Pt 2.78-2.87, 6 Dy 2.92-3.06

Output
**Calculated volume**: 19.9 A^3/atom
**Magnetic moment**: 0.00 μB/f.u.
**SG**: Cmcm (63)
**Formation energy**: -9.52 eV per formula unit

[2]
A plane-wave DFT calculation with PBE was carried out for a geometry-optimized Dy3Pt2 structure.

abc: 4.8575 7.7736 10.3875
angles: 90.97 90.00 108.21
Last column: nearest neighbours and their distance in Å.
Positions (direct):
Dy (0.8326, 0.6652, 0.0006)  5 Pt 2.93-3.14
Dy (0.1674, 0.3348, 0.9994)  5 Pt 2.93-3.14
Dy (0.8339, 0.6678, 0.3327)  5 Pt 2.93-3.14
Dy (0.1661, 0.3322, 0.6673)  5 Pt 2.93-3.14
Dy (0.1665, 0.3330, 0.3333)  6 Pt 3.02
Dy (0.8335, 0.6670, 0.6667)  6 Pt 3.02
Dy (0.4992, 0.9983, 0.3340)  5 Pt 2.93-3.14
Dy (0.5008, 0.0017, 0.6660)  5 Pt 2.93-3.14
Dy (0.5000, 0.0000, 0.0000)  6 Pt 3.02
Pt (0.6614, 0.3228, 0.5051)  8 Dy 2.93-3.14
Pt (0.3386, 0.6772, 0.4949)  8 Dy 2.93-3.14
Pt (0.6720, 0.3439, 0.1615)  8 Dy 2.93-3.14
Pt (0.3280, 0.6561, 0.8385)  8 Dy 2.93-3.14
Pt (0.9946, 0.9891, 0.1719)  8 Dy 2.93-3.14
Pt (0.0054, 0.0109, 0.8281)  8 Dy 2.93-3.14

Output
**Calculated volume**: 24.8 A^3/atom
**Magnetic moment**: 0.00 μB/f.u.
**Polymorph energy (0 for the lowest one)**: 0.0 meV/atom
**SG**: P-3m1 (164)
**Formation energy**: -5.25 eV per formula unit

[3]
A plane-wave DFT calculation with PBE was carried out for a geometry-optimized Dy4Pt3 structure.

abc: 7.4567 7.4567 7.4567
angles: 108.66 108.66 108.66
Last column: nearest neighbours and their distance in Å.
Positions (direct):
Dy (0.5000, 0.5000, 0.5000)  6 Pt 3.09
Dy (0.0000, 0.0000, 0.0000)  6 Pt 3.00
Dy (0.7805, 0.1722, 0.6516)  5 Pt 2.83-3.13
Dy (0.1722, 0.6516, 0.7805)  5 Pt 2.83-3.13
Dy (0.6516, 0.7805, 0.1722)  5 Pt 2.83-3.13
Dy (0.2195, 0.8278, 0.3484)  5 Pt 2.83-3.13
Dy (0.8278, 0.3484, 0.2195)  5 Pt 2.83-3.13
Dy (0.3484, 0.2195, 0.8278)  5 Pt 2.83-3.13
Pt (0.5479, 0.9294, 0.7992)  7 Dy 2.83-3.13
Pt (0.9294, 0.7992, 0.5479)  7 Dy 2.83-3.13
Pt (0.7992, 0.5479, 0.9294)  7 Dy 2.83-3.13
Pt (0.4521, 0.0706, 0.2008)  7 Dy 2.83-3.13
Pt (0.0706, 0.2008, 0.4521)  7 Dy 2.83-3.13
Pt (0.2008, 0.4521, 0.0706)  7 Dy 2.83-3.13

Output
**Calculated volume**: 23.5 A^3/atom
**Magnetic moment**: 0.00 μB/f.u.
**SG**: R-3 (148)
**Formation energy**: -7.87 eV per formula unit

[4]
A plane-wave DFT calculation with PBE was carried out for a geometry-optimized Dy5Pt3 structure.

abc: 8.4536 8.4536 6.1847
angles: 90.00 90.00 120.00
Last column: nearest neighbours and their distance in Å.
Positions (direct):
Dy (0.6667, 0.3333, 0.5000)  6 Pt 3.02, 2 Dy 3.09
Dy (0.3333, 0.6667, 0.5000)  6 Pt 3.02, 2 Dy 3.09
Dy (0.3333, 0.6667, 0.0000)  6 Pt 3.02, 2 Dy 3.09
Dy (0.6667, 0.3333, 0.0000)  6 Pt 3.02, 2 Dy 3.09
Dy (0.7541, 0.7541, 0.2500)  3 Pt 2.92-3.04
Dy (0.2459, 0.0000, 0.2500)  3 Pt 2.92-3.04
Dy (0.0000, 0.2459, 0.2500)  3 Pt 2.92-3.04
Dy (0.2459, 0.2459, 0.7500)  3 Pt 2.92-3.04
Dy (0.7541, 0.0000, 0.7500)  3 Pt 2.92-3.04
Dy (0.0000, 0.7541, 0.7500)  3 Pt 2.92-3.04
Pt (0.3942, 0.3942, 0.2500)  7 Dy 2.92-3.04
Pt (0.6058, 0.0000, 0.2500)  7 Dy 2.92-3.04
Pt (0.0000, 0.6058, 0.2500)  7 Dy 2.92-3.04
Pt (0.6058, 0.6058, 0.7500)  7 Dy 2.92-3.04
Pt (0.3942, 0.0000, 0.7500)  7 Dy 2.92-3.04
Pt (0.0000, 0.3942, 0.7500)  7 Dy 2.92-3.04

Output
**Calculated volume**: 23.9 A^3/atom
**Magnetic moment**: 0.00 μB/f.u.
**Polymorph energy (0 for the lowest one)**: 26.8 meV/atom
**SG**: P6_3/mcm (193)
**Formation energy**: -8.13 eV per formula unit